--- P ---
CeIBr | PBE | relaxed Values from VASP.

Geometry as Quantum ESPRESSO input:
```
&SYSTEM
  ibrav = 0, nat = 12, ntyp = 3
/
ATOMIC_SPECIES
Ce 140.12 Ce.upf
I 126.90 I.upf
Br 79.90 Br.upf
CELL_PARAMETERS angstrom
5.0313 -5.7517 0.0000
5.0313 5.7517 0.0000
0.0000 0.0000 7.9766
ATOMIC_POSITIONS crystal
Ce 0.0608 0.9392 0.8039
Ce 0.4392 0.5608 0.3039
Ce 0.5608 0.4392 0.6961
Ce 0.9392 0.0608 0.1961
I 0.2095 0.2095 0.5000
I 0.2905 0.2905 0.0000
I 0.7095 0.7095 0.0000
I 0.7905 0.7905 0.5000
Br 0.2005 0.7995 0.1326
Br 0.2995 0.7005 0.6326
Br 0.7005 0.2995 0.3674
Br 0.7995 0.2005 0.8674
```

---

--- Q ---
CeIBr | PBE | relaxed Values from VASP.

Geometry as Quantum ESPRESSO input:
```
&SYSTEM
  ibrav = 0, nat = 12, ntyp = 3
/
ATOMIC_SPECIES
Ce 140.12 Ce.upf
I 126.90 I.upf
Br 79.90 Br.upf
CELL_PARAMETERS angstrom
7.5930 0.0000 0.0000
0.0000 7.5930 0.0000
0.0000 0.0000 7.5930
ATOMIC_POSITIONS crystal
Ce 0.0000 0.0000 0.0000
Ce 0.0000 0.5000 0.5000
Ce 0.5000 0.0000 0.5000
Ce 0.5000 0.5000 0.0000
I 0.2500 0.2500 0.7500
I 0.2500 0.7500 0.2500
I 0.7500 0.2500 0.2500
I 0.7500 0.7500 0.7500
Br 0.2500 0.2500 0.2500
Br 0.2500 0.7500 0.7500
Br 0.7500 0.2500 0.7500
Br 0.7500 0.7500 0.2500
```

---

Which of them is least stable? Easy: Q.

---

--- P ---
CeIBr | PBE | relaxed Values from VASP.

Geometry as Quantum ESPRESSO input:
```
&SYSTEM
  ibrav = 0, nat = 6, ntyp = 3
/
ATOMIC_SPECIES
Ce 140.12 Ce.upf
I 126.90 I.upf
Br 79.90 Br.upf
CELL_PARAMETERS angstrom
7.3068 0.0000 0.0000
0.0000 4.1816 0.0000
-0.1912 0.0000 7.7570
ATOMIC_POSITIONS crystal
Ce 0.2184 0.2500 0.0059
Ce 0.7816 0.7500 0.9941
I 0.4119 0.7500 0.7502
I 0.5881 0.2500 0.2498
Br 0.0912 0.7500 0.2562
Br 0.9088 0.2500 0.7438
```

---

--- Q ---
CeIBr | PBE | relaxed Values from VASP.

Geometry as Quantum ESPRESSO input:
```
&SYSTEM
  ibrav = 0, nat = 3, ntyp = 3
/
ATOMIC_SPECIES
Ce 140.12 Ce.upf
I 126.90 I.upf
Br 79.90 Br.upf
CELL_PARAMETERS angstrom
5.2587 0.0000 0.0000
-2.6293 4.5541 0.0000
0.0000 0.0000 4.0909
ATOMIC_POSITIONS crystal
Ce 0.0000 0.0000 0.0000
I 0.6667 0.3333 0.5013
Br 0.3333 0.6667 0.0018
```

---

Which of them is least stable? Easy: Q.

---

--- P ---
Ce2I2Br3 | PBE | relaxed Values from VASP.

Geometry as Quantum ESPRESSO input:
```
&SYSTEM
  ibrav = 0, nat = 7, ntyp = 3
/
ATOMIC_SPECIES
Ce 140.12 Ce.upf
I 126.90 I.upf
Br 79.90 Br.upf
CELL_PARAMETERS angstrom
4.6129 0.0000 0.0000
0.0000 4.5885 0.0000
-2.2584 0.0000 14.7618
ATOMIC_POSITIONS crystal
Ce 0.0966 0.0000 0.2017
Ce 0.9034 0.0000 0.7983
I 0.4124 0.5000 0.8169
I 0.5876 0.5000 0.1831
Br 0.0000 0.0000 0.0000
Br 0.1903 0.0000 0.3825
Br 0.8097 0.0000 0.6175
```

---

--- Q ---
Ce2I2Br3 | PBE | relaxed Values from VASP.

Geometry as Quantum ESPRESSO input:
```
&SYSTEM
  ibrav = 0, nat = 14, ntyp = 3
/
ATOMIC_SPECIES
Ce 140.12 Ce.upf
I 126.90 I.upf
Br 79.90 Br.upf
CELL_PARAMETERS angstrom
13.9164 0.0000 0.0000
0.0000 4.2304 0.0000
-3.4785 0.0000 8.0944
ATOMIC_POSITIONS crystal
Ce 0.1748 0.0000 0.2113
Ce 0.3252 0.5000 0.7887
Ce 0.6748 0.5000 0.2113
Ce 0.8252 0.0000 0.7887
I 0.1540 0.0000 0.8065
I 0.3460 0.5000 0.1935
I 0.6540 0.5000 0.8065
I 0.8460 0.0000 0.1935
Br 0.0000 0.5000 0.0000
Br 0.1351 0.5000 0.4319
Br 0.3649 0.0000 0.5681
Br 0.5000 0.0000 0.0000
Br 0.6351 0.0000 0.4319
Br 0.8649 0.5000 0.5681
```

---

Which of them is least stable? Easy: P.

---

--- P ---
Ce2IrBr | PBE | relaxed Values from VASP.

Geometry as Quantum ESPRESSO input:
```
&SYSTEM
  ibrav = 0, nat = 8, ntyp = 3
/
ATOMIC_SPECIES
Ce 140.12 Ce.upf
Ir 192.22 Ir.upf
Br 79.90 Br.upf
CELL_PARAMETERS angstrom
4.0376 0.0000 0.0000
0.0000 5.9673 0.0000
0.0000 0.0000 9.1558
ATOMIC_POSITIONS crystal
Ce 0.2500 0.2500 0.0859
Ce 0.2500 0.2500 0.6727
Ce 0.7500 0.7500 0.3273
Ce 0.7500 0.7500 0.9141
Ir 0.2500 0.7500 0.1276
Ir 0.7500 0.2500 0.8724
Br 0.2500 0.7500 0.6067
Br 0.7500 0.2500 0.3933
```

---

--- Q ---
Ce2IrBr | PBE | relaxed Values from VASP.

Geometry as Quantum ESPRESSO input:
```
&SYSTEM
  ibrav = 0, nat = 12, ntyp = 3
/
ATOMIC_SPECIES
Ce 140.12 Ce.upf
Ir 192.22 Ir.upf
Br 79.90 Br.upf
CELL_PARAMETERS angstrom
4.1149 0.0000 0.0000
-2.0575 3.5636 0.0000
0.0000 0.0000 22.9247
ATOMIC_POSITIONS crystal
Ce 0.0000 0.0000 0.2324
Ce 0.0000 0.0000 0.7676
Ce 0.3333 0.6667 0.4343
Ce 0.3333 0.6667 0.8991
Ce 0.6667 0.3333 0.1009
Ce 0.6667 0.3333 0.5657
Ir 0.0000 0.0000 0.5000
Ir 0.3333 0.6667 0.1667
Ir 0.6667 0.3333 0.8333
Br 0.0000 0.0000 0.0000
Br 0.3333 0.6667 0.6667
Br 0.6667 0.3333 0.3333
```

---

--- R ---
Ce2IrBr | PBE | relaxed Values from VASP.

Geometry as Quantum ESPRESSO input:
```
&SYSTEM
  ibrav = 0, nat = 4, ntyp = 3
/
ATOMIC_SPECIES
Ce 140.12 Ce.upf
Ir 192.22 Ir.upf
Br 79.90 Br.upf
CELL_PARAMETERS angstrom
3.4375 0.0000 0.0000
0.0000 3.4375 0.0000
0.0000 0.0000 8.1377
ATOMIC_POSITIONS crystal
Ce 0.0000 0.0000 0.2163
Ce 0.0000 0.0000 0.7837
Ir 0.5000 0.5000 0.0000
Br 0.5000 0.5000 0.5000
```

---

Which of them is least stable? Easy: R.

---

--- P ---
K2CeBr5 | PBE | relaxed Values from VASP.

Geometry as Quantum ESPRESSO input:
```
&SYSTEM
  ibrav = 0, nat = 32, ntyp = 3
/
ATOMIC_SPECIES
K 39.10 K.upf
Ce 140.12 Ce.upf
Br 79.90 Br.upf
CELL_PARAMETERS angstrom
13.6714 0.0000 0.0000
0.0000 9.2927 0.0000
0.0000 0.0000 8.6192
ATOMIC_POSITIONS crystal
K 0.1723 0.0038 0.0518
K 0.1723 0.4962 0.0518
K 0.3277 0.5038 0.5518
K 0.3277 0.9962 0.5518
K 0.6723 0.0038 0.4482
K 0.6723 0.4962 0.4482
K 0.8277 0.5038 0.9482
K 0.8277 0.9962 0.9482
Ce 0.0052 0.2500 0.5759
Ce 0.4948 0.7500 0.0759
Ce 0.5052 0.2500 0.9241
Ce 0.9948 0.7500 0.4241
Br 0.0081 0.2500 0.9249
Br 0.0781 0.5441 0.6655
Br 0.0781 0.9559 0.6655
Br 0.1799 0.2500 0.3731
Br 0.2047 0.7500 0.3360
Br 0.2953 0.2500 0.8360
Br 0.3201 0.7500 0.8731
Br 0.4219 0.0441 0.1655
Br 0.4219 0.4559 0.1655
Br 0.4919 0.7500 0.4249
Br 0.5081 0.2500 0.5751
Br 0.5781 0.5441 0.8345
Br 0.5781 0.9559 0.8345
Br 0.6799 0.2500 0.1269
Br 0.7047 0.7500 0.1640
Br 0.7953 0.2500 0.6640
Br 0.8201 0.7500 0.6269
Br 0.9219 0.0441 0.3345
Br 0.9219 0.4559 0.3345
Br 0.9919 0.7500 0.0751
```

---

--- Q ---
K2CeBr5 | PBE | relaxed Values from VASP.

Geometry as Quantum ESPRESSO input:
```
&SYSTEM
  ibrav = 0, nat = 8, ntyp = 3
/
ATOMIC_SPECIES
K 39.10 K.upf
Ce 140.12 Ce.upf
Br 79.90 Br.upf
CELL_PARAMETERS angstrom
7.8979 0.0000 0.0000
3.5346 7.8663 0.0000
3.6068 -0.3320 7.8282
ATOMIC_POSITIONS crystal
K 0.0000 0.0000 0.0000
K 0.0022 0.4460 0.5535
Ce 0.2565 0.4074 0.9601
Br 0.0672 0.2268 0.2331
Br 0.0732 0.6787 0.7774
Br 0.1368 0.6613 0.2134
Br 0.3094 0.1695 0.7216
Br 0.6764 0.3143 0.8695
```

---

Which of them is least stable? Easy: Q.

---

--- P ---
K2CeBr4 | PBE | relaxed Values from VASP.

Geometry as Quantum ESPRESSO input:
```
&SYSTEM
  ibrav = 0, nat = 14, ntyp = 3
/
ATOMIC_SPECIES
K 39.10 K.upf
Ce 140.12 Ce.upf
Br 79.90 Br.upf
CELL_PARAMETERS angstrom
5.9036 0.0000 0.0000
0.0000 5.9036 0.0000
0.0000 0.0000 16.9323
ATOMIC_POSITIONS crystal
K 0.0000 0.0000 0.1356
K 0.0000 0.0000 0.8644
K 0.5000 0.5000 0.3644
K 0.5000 0.5000 0.6356
Ce 0.0000 0.0000 0.5000
Ce 0.5000 0.5000 0.0000
Br 0.0000 0.0000 0.3253
Br 0.0000 0.0000 0.6747
Br 0.0000 0.5000 0.0000
Br 0.0000 0.5000 0.5000
Br 0.5000 0.0000 0.0000
Br 0.5000 0.0000 0.5000
Br 0.5000 0.5000 0.1747
Br 0.5000 0.5000 0.8253
```

---

--- Q ---
K2CeBr4 | PBE | relaxed Values from VASP.

Geometry as Quantum ESPRESSO input:
```
&SYSTEM
  ibrav = 0, nat = 7, ntyp = 3
/
ATOMIC_SPECIES
K 39.10 K.upf
Ce 140.12 Ce.upf
Br 79.90 Br.upf
CELL_PARAMETERS angstrom
8.5532 0.0000 0.0000
0.0000 4.1048 0.0000
-3.5746 0.0000 7.9335
ATOMIC_POSITIONS crystal
K 0.0548 0.0000 0.3084
K 0.9452 0.0000 0.6916
Ce 0.5000 0.5000 0.0000
Br 0.2354 0.5000 0.6396
Br 0.2706 0.0000 0.0745
Br 0.7294 0.0000 0.9255
Br 0.7646 0.5000 0.3604
```

---

Which of them is least stable? Easy: P.

---

--- P ---
K2Ce2Br7 | PBE | relaxed Values from VASP.

Geometry as Quantum ESPRESSO input:
```
&SYSTEM
  ibrav = 0, nat = 11, ntyp = 3
/
ATOMIC_SPECIES
K 39.10 K.upf
Ce 140.12 Ce.upf
Br 79.90 Br.upf
CELL_PARAMETERS angstrom
-2.2815 7.4684 6.3066
2.2815 -7.4684 6.3066
2.2815 7.4684 -6.3066
ATOMIC_POSITIONS crystal
K 0.1553 0.0000 0.1553
K 0.8447 0.0000 0.8447
Ce 0.2983 0.7983 0.5000
Ce 0.5919 0.5919 0.0000
Br 0.0523 0.5523 0.5000
Br 0.1290 0.2590 0.8700
Br 0.3832 0.0006 0.3826
Br 0.3890 0.2590 0.1300
Br 0.6118 0.7482 0.8636
Br 0.6180 0.0006 0.6174
Br 0.8846 0.7482 0.1364
```

---

--- Q ---
K2Ce2Br7 | PBE | relaxed Values from VASP.

Geometry as Quantum ESPRESSO input:
```
&SYSTEM
  ibrav = 0, nat = 11, ntyp = 3
/
ATOMIC_SPECIES
K 39.10 K.upf
Ce 140.12 Ce.upf
Br 79.90 Br.upf
CELL_PARAMETERS angstrom
4.8354 -5.5559 0.0000
4.8354 5.5559 0.0000
0.0000 0.0000 7.8255
ATOMIC_POSITIONS crystal
K 0.2452 0.2452 0.0000
K 0.7548 0.7548 0.0000
Ce 0.2786 0.7214 0.5000
Ce 0.7214 0.2786 0.5000
Br 0.0000 0.0000 0.5000
Br 0.0000 0.5000 0.2551
Br 0.0000 0.5000 0.7449
Br 0.5000 0.0000 0.2551
Br 0.5000 0.0000 0.7449
Br 0.5000 0.5000 0.2690
Br 0.5000 0.5000 0.7310
```

---

Which of them is least stable? Easy: P.

---

--- P ---
K2LiCeBr6 | PBE | relaxed Values from VASP.

Geometry as Quantum ESPRESSO input:
```
&SYSTEM
  ibrav = 0, nat = 20, ntyp = 4
/
ATOMIC_SPECIES
K 39.10 K.upf
Li 6.94 Li.upf
Ce 140.12 Ce.upf
Br 79.90 Br.upf
CELL_PARAMETERS angstrom
7.6609 0.0000 0.0000
0.0000 8.0141 0.0000
-7.5428 0.0000 10.9684
ATOMIC_POSITIONS crystal
K 0.2242 0.0715 0.2473
K 0.2242 0.4285 0.7473
K 0.7758 0.5715 0.2527
K 0.7758 0.9285 0.7527
Li 0.0000 0.0000 0.5000
Li 0.0000 0.5000 0.0000
Ce 0.5000 0.0000 0.0000
Ce 0.5000 0.5000 0.5000
Br 0.1425 0.2041 0.9491
Br 0.1425 0.2959 0.4491
Br 0.2499 0.6976 0.9510
Br 0.2499 0.8024 0.4510
Br 0.3408 0.0242 0.7429
Br 0.3408 0.4758 0.2429
Br 0.6592 0.5242 0.7571
Br 0.6592 0.9758 0.2571
Br 0.7501 0.1976 0.5490
Br 0.7501 0.3024 0.0490
Br 0.8575 0.7041 0.5509
Br 0.8575 0.7959 0.0509
```

---

--- Q ---
K2LiCeBr6 | PBE | relaxed Values from VASP.

Geometry as Quantum ESPRESSO input:
```
&SYSTEM
  ibrav = 0, nat = 10, ntyp = 4
/
ATOMIC_SPECIES
K 39.10 K.upf
Li 6.94 Li.upf
Ce 140.12 Ce.upf
Br 79.90 Br.upf
CELL_PARAMETERS angstrom
0.0000 5.6048 5.6048
5.6048 0.0000 5.6048
5.6048 5.6048 0.0000
ATOMIC_POSITIONS crystal
K 0.2500 0.2500 0.2500
K 0.7500 0.7500 0.7500
Li 0.0000 0.0000 0.0000
Ce 0.5000 0.5000 0.5000
Br 0.2425 0.2425 0.7575
Br 0.2425 0.7575 0.2425
Br 0.2425 0.7575 0.7575
Br 0.7575 0.2425 0.2425
Br 0.7575 0.2425 0.7575
Br 0.7575 0.7575 0.2425
```

---

Which of them is least stable? Easy: Q.

---

--- P ---
La2CeBr | PBE | relaxed Values from VASP.

Geometry as Quantum ESPRESSO input:
```
&SYSTEM
  ibrav = 0, nat = 12, ntyp = 3
/
ATOMIC_SPECIES
La 138.91 La.upf
Ce 140.12 Ce.upf
Br 79.90 Br.upf
CELL_PARAMETERS angstrom
3.7526 0.0000 0.0000
-1.8763 3.2499 0.0000
0.0000 0.0000 31.6499
ATOMIC_POSITIONS crystal
La 0.0000 0.0000 0.2443
La 0.0000 0.0000 0.7557
La 0.3333 0.6667 0.4223
La 0.3333 0.6667 0.9110
La 0.6667 0.3333 0.0890
La 0.6667 0.3333 0.5777
Ce 0.0000 0.0000 0.0000
Ce 0.3333 0.6667 0.6667
Ce 0.6667 0.3333 0.3333
Br 0.0000 0.0000 0.5000
Br 0.3333 0.6667 0.1667
Br 0.6667 0.3333 0.8333
```

---

--- Q ---
La2CeBr | PBE | relaxed Values from VASP.

Geometry as Quantum ESPRESSO input:
```
&SYSTEM
  ibrav = 0, nat = 12, ntyp = 3
/
ATOMIC_SPECIES
La 138.91 La.upf
Ce 140.12 Ce.upf
Br 79.90 Br.upf
CELL_PARAMETERS angstrom
3.7495 0.0000 0.0000
-1.8747 3.2471 0.0000
0.0000 0.0000 32.1293
ATOMIC_POSITIONS crystal
La 0.0000 0.0000 0.0000
La 0.0000 0.0000 0.1813
La 0.3333 0.6667 0.6667
La 0.3333 0.6667 0.8479
La 0.6667 0.3333 0.3333
La 0.6667 0.3333 0.5146
Ce 0.0000 0.0000 0.4243
Ce 0.3333 0.6667 0.0910
Ce 0.6667 0.3333 0.7576
Br 0.0000 0.0000 0.5902
Br 0.3333 0.6667 0.2569
Br 0.6667 0.3333 0.9236
```

---

--- R ---
La2CeBr | PBE | relaxed Values from VASP.

Geometry as Quantum ESPRESSO input:
```
&SYSTEM
  ibrav = 0, nat = 4, ntyp = 3
/
ATOMIC_SPECIES
La 138.91 La.upf
Ce 140.12 Ce.upf
Br 79.90 Br.upf
CELL_PARAMETERS angstrom
3.5861 0.0000 0.0000
0.0000 3.5861 0.0000
0.0000 0.0000 9.6558
ATOMIC_POSITIONS crystal
La 0.0000 0.0000 0.2463
La 0.0000 0.0000 0.7537
Ce 0.5000 0.5000 0.5000
Br 0.5000 0.5000 0.0000
```

---

Which of them is least stable? Easy: R.

---

--- P ---
LiCe2Br8 | PBE | relaxed Values from VASP.

Geometry as Quantum ESPRESSO input:
```
&SYSTEM
  ibrav = 0, nat = 11, ntyp = 3
/
ATOMIC_SPECIES
Li 6.94 Li.upf
Ce 140.12 Ce.upf
Br 79.90 Br.upf
CELL_PARAMETERS angstrom
10.0674 -1.9842 0.0000
10.0674 1.9842 0.0000
-0.3392 0.0000 9.4938
ATOMIC_POSITIONS crystal
Li 0.0000 0.0000 0.0000
Ce 0.3542 0.3542 0.7340
Ce 0.6458 0.6458 0.2660
Br 0.0988 0.0988 0.4621
Br 0.1366 0.1366 0.0322
Br 0.2548 0.2548 0.3057
Br 0.4942 0.4942 0.8034
Br 0.5058 0.5058 0.1966
Br 0.7452 0.7452 0.6943
Br 0.8634 0.8634 0.9678
Br 0.9012 0.9012 0.5379
```

---

--- Q ---
LiCe2Br8 | PBE | relaxed Values from VASP.

Geometry as Quantum ESPRESSO input:
```
&SYSTEM
  ibrav = 0, nat = 11, ntyp = 3
/
ATOMIC_SPECIES
Li 6.94 Li.upf
Ce 140.12 Ce.upf
Br 79.90 Br.upf
CELL_PARAMETERS angstrom
7.4452 -4.3745 0.0000
7.4452 4.3745 0.0000
-0.6731 0.0000 5.7149
ATOMIC_POSITIONS crystal
Li 0.0000 0.0000 0.0000
Ce 0.2789 0.2789 0.9184
Ce 0.7211 0.7211 0.0816
Br 0.0904 0.6576 0.1321
Br 0.2134 0.2134 0.3950
Br 0.3424 0.9096 0.8679
Br 0.4312 0.4312 0.7143
Br 0.5688 0.5688 0.2857
Br 0.6576 0.0904 0.1321
Br 0.7866 0.7866 0.6050
Br 0.9096 0.3424 0.8679
```

---

Which of them is least stable? Easy: Q.